Li2P2WO8, relaxed, DFT PBE+U; energy above the lowest structure with this stoichiometry = 0.63 eV per formula unit; ρ = 4.3 g/cm3; energy = -0.5106 Ry per atom; DOS(E_F) = 0.00 states/eV/cell
1.0
4.9785 0.0000 0.0000
0.0000 5.9081 -0.0014
0.0000 0.0036 10.2160
Li P W O
4 4 2 16
Cartesian
3.3961 4.3181 5.6505
1.5824 4.3163 0.5425
1.3392 4.3261 7.4963
3.6393 4.3243 2.3883
1.9575 1.3649 5.9454
3.0210 1.3631 0.8374
4.1321 4.3205 9.2900
0.8464 4.3187 4.1821
4.0503 1.3661 7.8567
0.9282 1.3643 2.7487
2.7306 0.1652 6.6391
2.2479 0.1634 1.5311
2.7860 1.3655 9.5436
2.1925 1.3637 4.4357
0.4708 1.3655 6.2739
4.5077 1.3637 1.1659
2.7321 2.5644 6.6370
2.2464 2.5626 1.5290
4.8309 3.1082 8.4985
0.1475 3.1064 3.3905
2.6315 4.3203 9.0918
2.3470 4.3185 3.9839
0.3732 4.3195 5.6224
4.6053 4.3177 0.5144
4.8310 5.5321 8.4973
0.1474 5.5303 3.3893